# TbEr2Tm2Sc2 | Alexandria | PBE | optimized geometry
# Magnetic moment: 0.00 μB per atom
# ΔE_f: 0.157 eV/atom
# D(E_F): 11.68 states/eV/cell
# Final energy: -4.90 eV/atom
data_TbEr2Tm2Sc2
_chemical_formula_sum 'Tb1 Er2 Tm2 Sc2'
_cell_length_a 3.389
_cell_length_b 8.823
_cell_length_c 8.097
_cell_angle_alpha 118.21
_cell_angle_beta 90.00
_cell_angle_gamma 101.07
_space_group_name_H-M_alt 'P 1'
_space_group_IT_number 1
_space_group_name_Hall 'P 1'
loop_
_atom_site_label
_atom_site_type_symbol
_atom_site_fract_x
_atom_site_fract_y
_atom_site_fract_z
Tm1 Tm 0.575 0.151 0.236
Sc1 Sc 0.789 0.577 0.379
Sc2 Sc 0.211 0.423 0.621
Tb1 Tb 0.000 0.000 0.500
Er1 Er 0.651 0.301 0.906
Er2 Er 0.349 0.699 0.094
Tm2 Tm 0.425 0.849 0.764

# Ba4Pt3O9 | Alexandria | PBE | optimized geometry
# Magnetic moment: 0.00 μB per atom
# Raw formation energy: -1.6803 eV/atom
# Final energy: -6.08 eV/atom
data_Ba4Pt3O9
_chemical_formula_sum 'Ba12 Pt9 O27'
_cell_length_a 8.760
_cell_length_b 10.194
_cell_length_c 10.275
_cell_angle_alpha 119.68
_cell_angle_beta 89.87
_cell_angle_gamma 90.27
_space_group_name_H-M_alt 'P 1'
_space_group_IT_number 1
_space_group_name_Hall 'P 1'
loop_
_atom_site_label
_atom_site_type_symbol
_atom_site_fract_x
_atom_site_fract_y
_atom_site_fract_z
Pt1 Pt 0.000 0.079 0.074
O1 O 0.744 0.470 0.653
Ba1 Ba 0.503 0.667 0.678
O2 O 0.183 0.005 0.148
O3 O 0.256 0.522 0.178
O4 O 0.744 0.165 0.515
Ba2 Ba 0.250 0.682 0.005
Pt2 Pt 0.757 0.664 0.407
O5 O 0.257 0.651 0.480
Ba3 Ba 0.998 0.991 0.351
O6 O 0.815 0.002 0.147
O7 O 0.772 0.831 0.823
Ba4 Ba 0.752 0.017 0.693
O8 O 0.018 0.512 0.833
Pt3 Pt 0.338 0.002 0.997
O9 O 0.500 0.009 0.853
Ba5 Ba 0.999 0.372 0.002
O10 O 0.060 0.321 0.514
O11 O 0.060 0.184 0.676
Ba6 Ba 0.750 0.674 0.988
O12 O 0.980 0.684 0.169
Pt4 Pt 0.905 0.332 0.669
O13 O 0.944 0.811 0.492
Pt5 Pt 0.582 0.330 0.669
Ba7 Ba 0.500 0.358 0.002
O14 O 0.939 0.515 0.327
O15 O 0.743 0.338 0.822
O16 O 0.576 0.516 0.322
O17 O 0.229 0.821 0.827
O18 O 0.181 0.152 0.996
Pt6 Pt 0.244 0.252 0.594
O19 O 0.573 0.811 0.484
Pt7 Pt 0.661 0.004 0.997
Ba8 Ba 0.250 0.334 0.313
O20 O 0.258 0.823 0.346
O21 O 0.428 0.320 0.515
O22 O 0.470 0.505 0.833
O23 O 0.425 0.184 0.675
O24 O 0.498 0.160 0.153
O25 O 0.818 0.158 0.003
Pt8 Pt 0.096 0.668 0.332
O26 O 0.533 0.682 0.168
Ba9 Ba 0.999 0.654 0.665
Ba10 Ba 0.748 0.309 0.334
Ba11 Ba 0.498 0.993 0.332
Ba12 Ba 0.249 0.971 0.671
Pt9 Pt 0.419 0.667 0.330
O27 O 0.500 0.861 0.004

# TmInF5 | Alexandria | PBE | optimized geometry
# Magnetic moment: 0.00 μB per atom
# Raw formation energy: -3.2019 eV/atom
# D(E_F): 2.60 states/eV/cell
# Final energy: -5.57 eV/atom
data_TmInF5
_chemical_formula_sum 'Tm2 In2 F10'
_cell_length_a 5.979
_cell_length_b 5.979
_cell_length_c 7.505
_cell_angle_alpha 73.58
_cell_angle_beta 73.58
_cell_angle_gamma 77.98
_space_group_name_H-M_alt 'P 1'
_space_group_IT_number 1
_space_group_name_Hall 'P 1'
loop_
_atom_site_label
_atom_site_type_symbol
_atom_site_fract_x
_atom_site_fract_y
_atom_site_fract_z
F1 F 0.218 0.291 0.860
In1 In 0.000 0.000 0.000
F2 F 0.709 0.782 0.640
Tm1 Tm 0.457 0.543 0.750
Tm2 Tm 0.543 0.457 0.250
F3 F 0.329 0.656 0.459
F4 F 0.839 0.161 0.250
In2 In 0.000 0.000 0.500
F5 F 0.161 0.839 0.750
F6 F 0.344 0.671 0.041
F7 F 0.656 0.329 0.959
F8 F 0.291 0.218 0.360
F9 F 0.671 0.344 0.541
F10 F 0.782 0.709 0.140

# Sr4C | Alexandria | PBE | optimized geometry
# Magnetic moment: 0.19 μB per atom
# ΔE_f: 0.389 eV/atom
# D(E_F): 6.60 states/eV/cell
# Final energy: -2.80 eV/atom
data_Sr4C
_chemical_formula_sum 'Sr4 C1'
_cell_length_a 4.098
_cell_length_b 4.098
_cell_length_c 14.970
_cell_angle_alpha 90.00
_cell_angle_beta 90.00
_cell_angle_gamma 120.00
_space_group_name_H-M_alt 'P 1'
_space_group_IT_number 1
_space_group_name_Hall 'P 1'
loop_
_atom_site_label
_atom_site_type_symbol
_atom_site_fract_x
_atom_site_fract_y
_atom_site_fract_z
Sr1 Sr 0.333 0.667 0.906
Sr2 Sr 0.667 0.333 0.383
Sr3 Sr 0.667 0.333 0.094
Sr4 Sr 0.333 0.667 0.617
C1 C 0.000 0.000 0.000

# Dy3Er12Tm | Alexandria | PBE | optimized geometry
# Magnetic moment: 0.00 μB per atom
# ΔE_f: 0.022 eV/atom
# D(E_F): 20.69 states/eV/cell
# Final energy: -4.54 eV/atom
data_Dy3Er12Tm
_chemical_formula_sum 'Dy3 Er12 Tm1'
_cell_length_a 4.956
_cell_length_b 4.956
_cell_length_c 19.810
_cell_angle_alpha 90.00
_cell_angle_beta 90.00
_cell_angle_gamma 90.00
_space_group_name_H-M_alt 'P 1'
_space_group_IT_number 1
_space_group_name_Hall 'P 1'
loop_
_atom_site_label
_atom_site_type_symbol
_atom_site_fract_x
_atom_site_fract_y
_atom_site_fract_z
Er1 Er 0.000 0.500 0.876
Dy1 Dy 0.000 0.000 0.751
Er2 Er 0.500 0.500 0.249
Tm1 Tm 0.000 0.000 0.000
Dy2 Dy 0.000 0.000 0.500
Er3 Er 0.000 0.500 0.124
Er4 Er 0.500 0.000 0.375
Er5 Er 0.000 0.500 0.375
Er6 Er 0.500 0.500 0.000
Er7 Er 0.500 0.000 0.625
Er8 Er 0.500 0.500 0.500
Er9 Er 0.500 0.500 0.751
Dy3 Dy 0.000 0.000 0.249
Er10 Er 0.000 0.500 0.625
Er11 Er 0.500 0.000 0.124
Er12 Er 0.500 0.000 0.876

# Mg4Ga5Sn | Alexandria | PBE | optimized geometry
# Magnetic moment: 0.00 μB per atom
# ΔE_f: -0.078 eV/atom
# D(E_F): 4.09 states/eV/cell
# Final energy: -2.63 eV/atom
data_Mg4Ga5Sn
_chemical_formula_sum 'Mg4 Ga5 Sn1'
_cell_length_a 3.438
_cell_length_b 3.438
_cell_length_c 17.297
_cell_angle_alpha 90.00
_cell_angle_beta 90.00
_cell_angle_gamma 90.00
_space_group_name_H-M_alt 'P 1'
_space_group_IT_number 1
_space_group_name_Hall 'P 1'
loop_
_atom_site_label
_atom_site_type_symbol
_atom_site_fract_x
_atom_site_fract_y
_atom_site_fract_z
Ga1 Ga 0.500 0.500 0.885
Ga2 Ga 0.500 0.500 0.115
Ga3 Ga 0.500 0.500 0.500
Mg1 Mg 0.000 0.000 0.595
Sn1 Sn 0.000 0.000 0.000
Ga4 Ga 0.500 0.500 0.691
Ga5 Ga 0.500 0.500 0.309
Mg2 Mg 0.000 0.000 0.405
Mg3 Mg 0.000 0.000 0.788
Mg4 Mg 0.000 0.000 0.212

# Y3Zn2Hg2 | Alexandria | PBE | optimized geometry
# Magnetic moment: 0.00 μB per atom
# ΔE_f: -0.383 eV/atom
# D(E_F): 3.88 states/eV/cell
# Final energy: -3.60 eV/atom
data_Y3Zn2Hg2
_chemical_formula_sum 'Y3 Zn2 Hg2'
_cell_length_a 5.772
_cell_length_b 4.851
_cell_length_c 7.992
_cell_angle_alpha 107.72
_cell_angle_beta 109.09
_cell_angle_gamma 114.81
_space_group_name_H-M_alt 'P 1'
_space_group_IT_number 1
_space_group_name_Hall 'P 1'
loop_
_atom_site_label
_atom_site_type_symbol
_atom_site_fract_x
_atom_site_fract_y
_atom_site_fract_z
Zn1 Zn 0.233 0.339 0.445
Y1 Y 0.569 0.923 0.277
Hg1 Hg 0.096 0.434 0.773
Y2 Y 0.000 0.000 0.000
Zn2 Zn 0.767 0.661 0.555
Y3 Y 0.431 0.077 0.723
Hg2 Hg 0.904 0.566 0.227

# Ca3Np3MoN8 | Alexandria | PBE | optimized geometry
# Magnetic moment: 0.59 μB per atom
# Raw formation energy: -0.9848 eV/atom
# D(E_F): 16.41 states/eV/cell
# Final energy: -9.14 eV/atom
data_Ca3Np3MoN8
_chemical_formula_sum 'Ca3 Np3 Mo1 N8'
_cell_length_a 6.728
_cell_length_b 6.727
_cell_length_c 6.879
_cell_angle_alpha 119.28
_cell_angle_beta 90.00
_cell_angle_gamma 120.00
_space_group_name_H-M_alt 'P 1'
_space_group_IT_number 1
_space_group_name_Hall 'P 1'
loop_
_atom_site_label
_atom_site_type_symbol
_atom_site_fract_x
_atom_site_fract_y
_atom_site_fract_z
N1 N 0.222 0.974 0.696
N2 N 0.778 0.026 0.304
N3 N 0.248 0.026 0.304
N4 N 0.258 0.516 0.274
N5 N 0.778 0.556 0.304
Np1 Np 0.500 0.500 0.500
Ca1 Ca 0.500 0.500 0.000
N6 N 0.742 0.484 0.726
N7 N 0.752 0.974 0.696
Ca2 Ca 0.000 0.500 0.000
N8 N 0.222 0.444 0.696
Np2 Np 0.500 0.000 0.500
Np3 Np 0.000 0.500 0.500
Ca3 Ca 0.000 0.000 0.000
Mo1 Mo 0.000 0.000 0.500

# La2Nd2In4Cu | Alexandria | PBE | optimized geometry
# Magnetic moment: 0.08 μB per atom
# ΔE_f: -0.299 eV/atom
# D(E_F): 8.93 states/eV/cell
# Final energy: -4.13 eV/atom
data_La2Nd2In4Cu
_chemical_formula_sum 'La2 Nd2 In4 Cu1'
_cell_length_a 7.044
_cell_length_b 7.044
_cell_length_c 7.044
_cell_angle_alpha 99.02
_cell_angle_beta 114.94
_cell_angle_gamma 114.94
_space_group_name_H-M_alt 'P 1'
_space_group_IT_number 1
_space_group_name_Hall 'P 1'
loop_
_atom_site_label
_atom_site_type_symbol
_atom_site_fract_x
_atom_site_fract_y
_atom_site_fract_z
Nd1 Nd 0.500 0.750 0.250
In1 In 0.475 0.238 0.238
La1 La 0.000 0.304 0.304
In2 In 0.000 0.238 0.762
Nd2 Nd 0.500 0.250 0.750
Cu1 Cu 0.000 0.000 0.000
In3 In 0.000 0.762 0.238
La2 La 0.000 0.696 0.696
In4 In 0.525 0.762 0.762

# Rb5Cd4Hg | Alexandria | PBE | optimized geometry
# Magnetic moment: 0.00 μB per atom
# ΔE_f: -0.058 eV/atom
# D(E_F): 4.81 states/eV/cell
# Final energy: -0.94 eV/atom
data_Rb5Cd4Hg
_chemical_formula_sum 'Rb5 Cd4 Hg1'
_cell_length_a 4.900
_cell_length_b 9.629
_cell_length_c 12.038
_cell_angle_alpha 114.39
_cell_angle_beta 101.74
_cell_angle_gamma 90.00
_space_group_name_H-M_alt 'P 1'
_space_group_IT_number 1
_space_group_name_Hall 'P 1'
loop_
_atom_site_label
_atom_site_type_symbol
_atom_site_fract_x
_atom_site_fract_y
_atom_site_fract_z
Cd1 Cd 0.621 0.942 0.241
Rb1 Rb 0.137 0.273 0.274
Rb2 Rb 0.863 0.727 0.726
Cd2 Cd 0.379 0.058 0.759
Cd3 Cd 0.039 0.860 0.079
Hg1 Hg 0.500 0.000 0.000
Cd4 Cd 0.961 0.140 0.921
Rb3 Rb 0.802 0.213 0.603
Rb4 Rb 0.500 0.500 0.000
Rb5 Rb 0.198 0.787 0.397